DFT (PBE) results for KTcAs2 after structural relaxation. Values from VASP.

```
&SYSTEM
  ibrav = 0, nat = 4, ntyp = 3
/
ATOMIC_SPECIES
Tc 98.00 Tc.upf
K 39.10 K.upf
As 74.92 As.upf
ATOMIC_POSITIONS angstrom
Tc 3.8011 -0.9909 1.3610
K 1.7125 1.9655 1.3615
As 7.7930 5.5053 0.0000
As 4.6189 3.2630 0.0000
CELL_PARAMETERS angstrom
6.2258 -0.0336 -0.0005
2.0488 5.8792 0.0005
-2.7610 -4.8710 2.7226
```

Calculated values
M_tot ... 0.00 μB per formula unit
Electronic total energy ... -5.0712 eV/atom
E above lowest polymorph ... 35.5 kJ per mole of atoms
Formation energy ... 119 meV per atom
Crystal system ... orthorhombic

DFT (PBE) results for Ba4Sn2Pb5 after structural relaxation. Values from VASP.

```
&SYSTEM
  ibrav = 0, nat = 11, ntyp = 3
/
ATOMIC_SPECIES
Ba 137.33 Ba.upf
Pb 207.20 Pb.upf
Sn 118.71 Sn.upf
ATOMIC_POSITIONS angstrom
Ba 2.6248 2.2133 5.9413
Ba 2.6248 1.8897 1.2812
Ba 2.6248 6.6841 8.3565
Ba 2.6248 6.3605 3.6963
Pb 0.0000 3.7720 3.2872
Pb 0.0000 7.2935 1.1194
Pb 0.0000 4.8017 6.3505
Pb 0.0000 4.1779 -0.0275
Pb 0.0000 1.2803 8.5182
Sn 0.0000 7.7943 6.0646
Sn 0.0000 0.7794 3.5731
CELL_PARAMETERS angstrom
5.2495 0.0000 0.0000
0.0000 8.3558 -0.0550
0.0000 0.2180 9.6927
```

Calculated values
M_tot ... 0.00 μB per formula unit
Electronic total energy ... -3.6124 eV/atom
E above lowest polymorph ... 0.0 kJ per mole of atoms
Formation energy ... -500 meV per atom
Crystal system ... monoclinic